[1]
First-principles (PBE-GGA) data for an optimized crystal structure of Na2CeSO8, as listed in Alexandria.

Calculated values
- ΔE_f (raw) (eV per atom) = -1.10
- density of states at the Fermi level (states/eV/cell) = 5.691
- VASP energy (eV per atom) = -5.46
- SG = No. 164

Lattice parameters (Å, degrees): 5.240 5.240 6.009 90.00 90.00 120.00
Each line ends with the local moment (μB).
Sites, in units of the cell vectors:
O (0.854, 0.146, 0.835)  0.23
O (0.667, 0.333, 0.478)  1.05
O (0.854, 0.708, 0.835)  0.23
O (0.292, 0.146, 0.835)  0.23
Ce (0.000, 0.000, 0.500)  -0.18
O (0.146, 0.854, 0.165)  0.23
O (0.146, 0.292, 0.165)  0.23
Na (0.667, 0.333, 0.098)  0.00
S (0.000, 0.000, 0.000)  -0.01
O (0.333, 0.667, 0.522)  1.05
Na (0.333, 0.667, 0.902)  0.00
O (0.708, 0.854, 0.165)  0.23


[2]
First-principles (PBE-GGA) data for an optimized crystal structure of NaCeSO, as listed in Alexandria.

Calculated values
- ΔE_f (raw) (eV per atom) = -2.12
- density of states at the Fermi level (states/eV/cell) = 4.600
- VASP energy (eV per atom) = -6.20
- SG = No. 160

Lattice parameters (Å, degrees): 3.841 3.841 6.632 73.17 73.17 60.00
Each line ends with the local moment (μB).
Sites, in units of the cell vectors:
O (0.269, 0.269, 0.193)  -0.02
S (0.747, 0.747, 0.758)  -0.02
Na (0.499, 0.499, 0.503)  0.00
Ce (0.985, 0.985, 0.046)  0.90


[3]
First-principles (PBE-GGA) data for an optimized crystal structure of NaCeSO6, as listed in Alexandria.

Calculated values
- ΔE_f (raw) (eV per atom) = -1.58
- density of states at the Fermi level (states/eV/cell) = 6.412
- VASP energy (eV per atom) = -6.15
- SG = No. 149

Lattice parameters (Å, degrees): 5.197 5.197 4.594 90.00 90.00 60.00
Each line ends with the local moment (μB).
Sites, in units of the cell vectors:
Ce (0.000, 0.000, 0.000)  -0.10
O (0.081, 0.315, 0.289)  0.17
O (0.604, 0.315, 0.711)  0.17
O (0.605, 0.081, 0.289)  0.17
S (0.333, 0.333, 0.500)  -0.01
O (0.315, 0.081, 0.711)  0.17
Na (0.667, 0.667, 0.500)  0.00
O (0.081, 0.605, 0.711)  0.17
O (0.315, 0.605, 0.289)  0.17


[4]
First-principles (PBE-GGA) data for an optimized crystal structure of NaCe2SbO8, as listed in Alexandria.

Calculated values
- ΔE_f (raw) (eV per atom) = -2.11
- density of states at the Fermi level (states/eV/cell) = 8.720
- VASP energy (eV per atom) = -6.86
- SG = No. 10

Lattice parameters (Å, degrees): 5.020 5.026 7.179 90.00 90.00 90.51
Each line ends with the local moment (μB).
Sites, in units of the cell vectors:
Ce (0.500, 0.500, 0.258)  -0.03
Ce (0.500, 0.500, 0.742)  -0.03
O (0.320, 0.319, 0.500)  0.12
O (0.680, 0.681, 0.500)  0.12
O (0.812, 0.189, 0.205)  0.27
O (0.188, 0.810, 0.205)  0.27
Na (0.000, 0.000, 0.500)  0.00
O (0.812, 0.190, 0.795)  0.27
O (0.288, 0.286, 0.000)  0.23
O (0.188, 0.811, 0.795)  0.27
O (0.712, 0.714, 0.000)  0.23
Sb (0.000, 0.000, 0.000)  -0.03


[5]
First-principles (PBE-GGA) data for an optimized crystal structure of Na4CeSb3O12, as listed in Alexandria.

Calculated values
- ΔE_f (raw) (eV per atom) = -1.71
- density of states at the Fermi level (states/eV/cell) = 11.993
- VASP energy (eV per atom) = -5.86
- SG = No. 229

Lattice parameters (Å, degrees): 7.086 7.086 7.086 109.47 109.47 109.47
Each line ends with the local moment (μB).
Sites, in units of the cell vectors:
Sb (0.500, 0.500, 0.000)  0.00
O (0.735, 0.000, 0.735)  0.02
O (0.250, 0.500, 0.750)  0.05
O (0.000, 0.265, 0.265)  0.02
O (0.000, 0.735, 0.735)  0.02
O (0.735, 0.735, 0.000)  0.02
Na (0.500, 0.500, 0.500)  0.00
Na (0.000, 0.000, 0.500)  0.00
Sb (0.000, 0.500, 0.500)  0.00
O (0.265, 0.000, 0.265)  0.02
Na (0.000, 0.500, 0.000)  0.00
O (0.500, 0.750, 0.250)  0.05
O (0.750, 0.500, 0.250)  0.05
O (0.265, 0.265, 0.000)  0.02
O (0.500, 0.250, 0.750)  0.05
Ce (0.000, 0.000, 0.000)  -0.01
O (0.750, 0.250, 0.500)  0.05
Sb (0.500, 0.000, 0.500)  0.00
O (0.250, 0.750, 0.500)  0.05
Na (0.500, 0.000, 0.000)  0.00


[6]
First-principles (PBE-GGA) data for an optimized crystal structure of Na2CeSbO6, as listed in Alexandria.

Calculated values
- ΔE_f (raw) (eV per atom) = -1.98
- density of states at the Fermi level (states/eV/cell) = 12.961
- VASP energy (eV per atom) = -6.22
- SG = No. 14

Lattice parameters (Å, degrees): 5.755 5.881 8.211 90.00 90.04 90.00
Each line ends with the local moment (μB).
Sites, in units of the cell vectors:
Na (0.008, 0.966, 0.253)  0.00
O (0.221, 0.196, 0.457)  0.14
Na (0.992, 0.034, 0.747)  0.00
Ce (0.500, 0.000, 0.000)  -0.04
O (0.409, 0.968, 0.735)  0.16
O (0.691, 0.276, 0.550)  0.18
Ce (0.000, 0.500, 0.500)  -0.04
Sb (0.500, 0.000, 0.500)  -0.01
O (0.591, 0.032, 0.265)  0.16
O (0.191, 0.224, 0.050)  0.18
O (0.809, 0.776, 0.950)  0.18
O (0.779, 0.804, 0.543)  0.14
O (0.909, 0.532, 0.235)  0.16
Na (0.508, 0.534, 0.753)  0.00
O (0.091, 0.468, 0.765)  0.16
Sb (0.000, 0.500, 0.000)  -0.01
O (0.279, 0.696, 0.043)  0.14
O (0.309, 0.724, 0.450)  0.18
O (0.721, 0.304, 0.957)  0.14
Na (0.492, 0.466, 0.247)  0.00